Pm7Cd2Rh2: relaxed, PBE-GGA.

## Properties
Distance to the lowest polymorph of the same formula, eV per atom: 0.0257
ΔH_f (0 K), eV/atom: -0.313

Structure (CIF):
```
data_Pm7Cd2Rh2
_chemical_formula_sum 'Pm14 Cd4 Rh4'
_symmetry_space_group_name_H-M 'C m m m'
_symmetry_Int_Tables_number 65
_symmetry_space_group_name_Hall '-C 2 2'
_cell_length_a 8.1302
_cell_length_b 11.2408
_cell_length_c 7.3309
_cell_angle_alpha 90.00
_cell_angle_beta 90.00
_cell_angle_gamma 90.00
loop_
_atom_site_label
_atom_site_type_symbol
_atom_site_fract_x
_atom_site_fract_y
_atom_site_fract_z
Pm1 Pm 0.0000 0.0000 0.0000
Pm2 Pm 0.0000 0.5000 0.2450
Pm3 Pm 0.2500 0.2500 0.2528
Cd1 Cd 0.1731 0.0000 0.5000
Rh1 Rh 0.0000 0.2899 0.0000
```


SbTe2RuPb: relaxed, PBE-GGA.

## Properties
Distance to the lowest polymorph of the same formula, eV per atom: 0.0000
Formation energy from raw total energies, eV per atom: 0.3031

Structure (CIF):
```
data_SbTe2RuPb
_chemical_formula_sum 'Sb1 Te2 Ru1 Pb1'
_symmetry_space_group_name_H-M 'P 4/m m m'
_symmetry_Int_Tables_number 123
_symmetry_space_group_name_Hall '-P 4 2'
_cell_length_a 5.4566
_cell_length_b 5.4566
_cell_length_c 4.9568
_cell_angle_alpha 90.00
_cell_angle_beta 90.00
_cell_angle_gamma 90.00
loop_
_atom_site_label
_atom_site_type_symbol
_atom_site_fract_x
_atom_site_fract_y
_atom_site_fract_z
Sb1 Sb 0.0000 0.0000 0.0000
Te1 Te 0.0000 0.5000 0.5000
Ru1 Ru 0.0000 0.0000 0.5000
Pb1 Pb 0.5000 0.5000 0.0000
```


What did the first record say?
Pm7Cd2Rh2: relaxed, PBE-GGA.

## Properties
Distance to the lowest polymorph of the same formula, eV per atom: 0.0257
ΔH_f (0 K), eV/atom: -0.313

Structure (CIF):
```
data_Pm7Cd2Rh2
_chemical_formula_sum 'Pm14 Cd4 Rh4'
_symmetry_space_group_name_H-M 'C m m m'
_symmetry_Int_Tables_number 65
_symmetry_space_group_name_Hall '-C 2 2'
_cell_length_a 8.1302
_cell_length_b 11.2408
_cell_length_c 7.3309
_cell_angle_alpha 90.00
_cell_angle_beta 90.00
_cell_angle_gamma 90.00
loop_
_atom_site_label
_atom_site_type_symbol
_atom_site_fract_x
_atom_site_fract_y
_atom_site_fract_z
Pm1 Pm 0.0000 0.0000 0.0000
Pm2 Pm 0.0000 0.5000 0.2450
Pm3 Pm 0.2500 0.2500 0.2528
Cd1 Cd 0.1731 0.0000 0.5000
Rh1 Rh 0.0000 0.2899 0.0000
```


> Look up the distance to the lowest polymorph of the same formula of the first one.

0.0257 eV per atom


> Which value of distance to the lowest polymorph of the same formula does entry 1 give?

0.0257 eV per atom